A relaxed structure of Be3NiF, computed with PBE with a Hubbard U.

Properties
E above lowest polymorph = 0 meV/atom

Lattice parameters (Å, degrees): 3.5532 3.5532 3.5532 90.00 90.00 90.00
Closest atoms and distances in Å follow each position.
Element x y z (fractional)
Ni  0.5000  0.5000  0.5000  12 Be 2.51
Be  0.0000  0.5000  0.0000  2 F 1.78
Be  0.0000  0.0000  0.5000  2 F 1.78
Be  0.5000  0.0000  0.0000  2 F 1.78
F  0.0000  0.0000  0.0000  6 Be 1.78